This record from Alexandria describes a geometry-optimized Si7C5 structure. The functional is PBE-GGA.

abc: 6.2304 6.2304 6.2304
angles: 101.05 101.05 128.08
Positions (direct):
C1 0.0961 0.0961 0.2778
C2 0.0961 0.8183 0.0000
C3 0.0797 0.0797 0.0000
C4 0.8183 0.8183 0.7222
C5 0.8183 0.0961 0.0000
Si1 0.7101 0.4701 0.7599
Si2 0.9502 0.7101 0.2401
Si3 0.4248 0.4248 0.0000
Si4 0.7101 0.9502 0.2401
Si5 0.5130 0.0130 0.5000
Si6 0.0130 0.5130 0.5000
Si7 0.4701 0.7101 0.7599

## Properties
Energy relative to the elements, uncorrected: 1.35 eV/atom
Calculated volume: 171.2 Å³/cell
Final energy: -67.9 eV per cell